! Sm6Rh3Cl2, optimized geometry, DFT PBE; values from VASP
&SYSTEM
  ibrav = 0, nat = 11, ntyp = 3
/
ATOMIC_SPECIES
Cl 35.45 Cl.upf
Sm 150.36 Sm.upf
Rh 102.91 Rh.upf
CELL_PARAMETERS angstrom
-3.195 -2.654 -5.684
3.508 -4.311 -4.318
-3.247 -6.519 1.950
ATOMIC_POSITIONS angstrom
Cl 0.193 -6.582 -2.854
Cl -3.128 -6.902 -5.198
Sm -1.643 -6.737 -0.328
Sm -1.489 -9.088 -3.676
Sm -1.445 -4.396 -4.376
Sm -1.291 -6.747 -7.725
Sm -4.904 -7.091 -2.624
Sm -1.538 -2.082 -1.111
Rh 0.148 -2.347 -3.347
Rh 0.000 0.000 0.000
Rh 0.165 -4.618 -6.656
! - V: 307 Å³/f.u.
! - E_form (uncorrected): -0.964 eV per atom
! - Space group: C2/m

=====

! Sm2RhCl, optimized geometry, DFT PBE; values from VASP
&SYSTEM
  ibrav = 0, nat = 4, ntyp = 3
/
ATOMIC_SPECIES
Rh 102.91 Rh.upf
Sm 150.36 Sm.upf
Cl 35.45 Cl.upf
CELL_PARAMETERS angstrom
-1.013 -2.650 2.871
-0.732 -3.848 -0.973
6.679 -3.811 1.676
ATOMIC_POSITIONS angstrom
Rh 0.000 0.000 0.000
Sm 0.898 -2.501 0.845
Sm 4.036 -7.808 2.728
Cl 2.467 -5.154 1.787
! - Offset from the most stable computed form: 0.0 meV per atom
! - V: 106 Å³/f.u.
! - E_form (uncorrected): -1.182 eV per atom
! - Space group: R-3m

=====

! Sm2RhCl, optimized geometry, DFT PBE; values from VASP
&SYSTEM
  ibrav = 0, nat = 4, ntyp = 3
/
ATOMIC_SPECIES
Cl 35.45 Cl.upf
Sm 150.36 Sm.upf
Rh 102.91 Rh.upf
CELL_PARAMETERS angstrom
-0.591 2.768 -1.900
-0.467 -1.979 -2.737
-7.875 -0.508 1.709
ATOMIC_POSITIONS angstrom
Cl -4.466 0.141 -1.464
Sm -1.709 -0.110 0.371
Sm -6.165 -0.398 1.338
Rh -0.529 0.395 -2.319
! - Offset from the most stable computed form: 169.9 meV per atom
! - V: 94 Å³/f.u.
! - E_form (uncorrected): -1.012 eV per atom
! - Space group: P4/mmm

=====

! SmRhCl, optimized geometry, DFT PBE; values from VASP
&SYSTEM
  ibrav = 0, nat = 12, ntyp = 3
/
ATOMIC_SPECIES
Sm 150.36 Sm.upf
Cl 35.45 Cl.upf
Rh 102.91 Rh.upf
CELL_PARAMETERS angstrom
3.914 0.000 0.000
0.000 7.819 -0.042
-1.957 -0.904 10.579
ATOMIC_POSITIONS angstrom
Sm 1.957 0.593 3.344
Sm 1.957 4.399 3.118
Sm 0.000 6.323 7.193
Sm 0.000 2.517 7.419
Cl 1.957 6.454 1.331
Cl 1.957 4.443 8.596
Cl 0.000 2.472 1.940
Cl 0.000 0.461 9.206
Rh 0.000 0.549 5.328
Rh 1.957 6.367 5.208
Rh 1.957 2.538 5.457
Rh 0.000 4.377 5.080
! - V: 81 Å³/f.u.
! - E_form (uncorrected): -1.156 eV per atom
! - Space group: C2/m

=====

! TbSmRhCl, optimized geometry, DFT PBE; values from VASP
&SYSTEM
  ibrav = 0, nat = 4, ntyp = 4
/
ATOMIC_SPECIES
Sm 150.36 Sm.upf
Rh 102.91 Rh.upf
Tb 158.93 Tb.upf
Cl 35.45 Cl.upf
CELL_PARAMETERS angstrom
3.984 -0.001 -0.001
-1.992 3.450 -0.001
-1.992 -1.151 7.609
ATOMIC_POSITIONS angstrom
Sm 0.376 -0.255 5.096
Rh -1.616 0.896 6.650
Tb -1.615 3.198 0.536
Cl 2.367 0.899 2.702
! - V: 105 Å³/f.u.
! - E_form (uncorrected): -1.164 eV per atom
! - Space group: R3m

=====

! Sm4Te2RhCl, optimized geometry, DFT PBE; values from VASP
&SYSTEM
  ibrav = 0, nat = 8, ntyp = 4
/
ATOMIC_SPECIES
Sm 150.36 Sm.upf
Te 127.60 Te.upf
Cl 35.45 Cl.upf
Rh 102.91 Rh.upf
CELL_PARAMETERS angstrom
4.176 0.000 0.000
0.000 7.673 -0.241
0.000 2.619 6.970
ATOMIC_POSITIONS angstrom
Sm 2.088 4.084 4.910
Sm 0.000 7.524 5.028
Sm 4.176 2.769 1.701
Sm 2.088 6.208 1.819
Te 2.088 1.310 3.485
Te 0.000 2.619 6.969
Cl 2.088 6.456 6.849
Rh 0.000 5.146 3.364
! - V: 226 Å³/f.u.
! - E_form (uncorrected): -1.224 eV per atom
! - Space group: P2/m

=====

! Sm3TeRhCl, optimized geometry, DFT PBE; values from VASP
&SYSTEM
  ibrav = 0, nat = 12, ntyp = 4
/
ATOMIC_SPECIES
Cl 35.45 Cl.upf
Rh 102.91 Rh.upf
Sm 150.36 Sm.upf
Te 127.60 Te.upf
CELL_PARAMETERS angstrom
-1.312 -3.844 -0.904
7.027 -3.406 4.287
-5.822 0.104 8.011
ATOMIC_POSITIONS angstrom
Cl 2.603 -5.782 6.450
Cl -2.710 -1.363 4.945
Rh -3.300 -4.099 7.861
Rh 3.193 -3.046 3.534
Sm -4.250 -1.413 7.392
Sm 4.143 -5.733 4.003
Sm -2.013 -3.979 5.480
Sm -1.033 -2.929 9.169
Sm 1.905 -3.167 5.915
Sm 0.926 -4.217 2.225
Te -0.555 -1.345 1.737
Te 0.447 -5.801 9.658
! - V: 183 Å³/f.u.
! - E_form (uncorrected): -1.116 eV per atom
! - Space group: P2_1/m

=====

! SmThRhCl, optimized geometry, DFT PBE; values from VASP
&SYSTEM
  ibrav = 0, nat = 4, ntyp = 4
/
ATOMIC_SPECIES
Th 232.04 Th.upf
Rh 102.91 Rh.upf
Sm 150.36 Sm.upf
Cl 35.45 Cl.upf
CELL_PARAMETERS angstrom
-2.828 2.220 1.974
2.666 -2.280 2.122
5.875 5.249 -1.745
ATOMIC_POSITIONS angstrom
Th 2.601 -1.624 2.096
Rh 5.752 4.034 0.251
Sm 2.900 4.285 0.143
Cl 0.421 3.185 2.088
! - V: 112 Å³/f.u.
! - E_form (uncorrected): -1.082 eV per atom
! - Space group: Cm

=====

! Sn2RhCl, optimized geometry, DFT PBE; values from VASP
&SYSTEM
  ibrav = 0, nat = 8, ntyp = 3
/
ATOMIC_SPECIES
Rh 102.91 Rh.upf
Sn 118.71 Sn.upf
Cl 35.45 Cl.upf
CELL_PARAMETERS angstrom
-5.391 -1.751 3.121
3.148 0.363 5.642
-2.699 5.069 4.890
ATOMIC_POSITIONS angstrom
Rh 0.000 0.000 0.000
Rh -4.606 1.312 6.196
Sn -3.980 0.111 4.069
Sn -3.058 3.259 6.609
Sn 0.948 1.382 4.948
Sn -3.795 2.610 11.680
Cl -0.336 2.369 7.457
Cl -1.122 -0.694 4.381
! - Offset from the most stable computed form: 0.0 meV per atom
! - V: 126 Å³/f.u.
! - E_form (uncorrected): -0.148 eV per atom
! - Space group: I-42d

=====

! SnRh2Cl, optimized geometry, DFT PBE; values from VASP
&SYSTEM
  ibrav = 0, nat = 8, ntyp = 3
/
ATOMIC_SPECIES
Rh 102.91 Rh.upf
Sn 118.71 Sn.upf
Cl 35.45 Cl.upf
CELL_PARAMETERS angstrom
4.668 0.000 0.000
0.000 4.668 0.000
2.334 2.334 7.411
ATOMIC_POSITIONS angstrom
Rh 5.835 5.501 5.558
Rh 1.501 3.501 1.853
Rh 3.167 1.167 1.853
Rh 3.501 3.835 5.558
Sn 0.000 0.000 0.000
Sn 4.668 2.334 3.706
Cl 2.334 2.334 0.000
Cl 2.334 4.668 3.706
! - Offset from the most stable computed form: 32.3 meV per atom
! - V: 81 Å³/f.u.
! - E_form (uncorrected): 0.172 eV per atom
! - Space group: I-42d

=====

! SnRh3Cl, optimized geometry, DFT PBE; values from VASP
&SYSTEM
  ibrav = 0, nat = 5, ntyp = 3
/
ATOMIC_SPECIES
Cl 35.45 Cl.upf
Rh 102.91 Rh.upf
Sn 118.71 Sn.upf
CELL_PARAMETERS angstrom
-1.797 2.016 -3.574
-4.007 -0.021 2.004
0.885 4.001 1.812
ATOMIC_POSITIONS angstrom
Cl 0.000 0.000 0.000
Rh -0.899 1.008 -1.787
Rh -2.003 -0.010 1.002
Rh 0.443 2.000 0.906
Sn -2.460 2.998 0.121
! - Offset from the most stable computed form: 0.0 meV per atom
! - V: 90 Å³/f.u.
! - E_form (uncorrected): 0.573 eV per atom
! - Space group: Pm-3m

=====

! SnRh2Cl, optimized geometry, DFT PBE; values from VASP
&SYSTEM
  ibrav = 0, nat = 4, ntyp = 3
/
ATOMIC_SPECIES
Sn 118.71 Sn.upf
Rh 102.91 Rh.upf
Cl 35.45 Cl.upf
CELL_PARAMETERS angstrom
2.819 -2.217 2.834
3.005 2.340 2.528
-0.583 0.328 4.521
ATOMIC_POSITIONS angstrom
Sn 2.620 0.225 4.942
Rh 1.310 0.113 2.471
Rh 3.930 0.338 7.412
Cl 0.000 0.000 0.000
! - Offset from the most stable computed form: 0.0 meV per atom
! - V: 68 Å³/f.u.
! - E_form (uncorrected): 0.140 eV per atom
! - Space group: Fm-3m

=====

! SnRh3Cl, optimized geometry, DFT PBE; values from VASP
&SYSTEM
  ibrav = 0, nat = 5, ntyp = 3
/
ATOMIC_SPECIES
Rh 102.91 Rh.upf
Cl 35.45 Cl.upf
Sn 118.71 Sn.upf
CELL_PARAMETERS angstrom
4.970 0.000 0.000
0.000 4.970 0.000
0.000 0.000 4.970
ATOMIC_POSITIONS angstrom
Rh 2.485 0.000 0.000
Rh 0.000 2.485 0.000
Rh 0.000 0.000 2.485
Cl 2.485 2.485 2.485
Sn 0.000 0.000 0.000
! - Offset from the most stable computed form: 623.9 meV per atom
! - V: 123 Å³/f.u.
! - E_form (uncorrected): 1.197 eV per atom
! - Space group: Pm-3m

=====

! Sn2RhCl, optimized geometry, DFT PBE; values from VASP
&SYSTEM
  ibrav = 0, nat = 4, ntyp = 3
/
ATOMIC_SPECIES
Sn 118.71 Sn.upf
Cl 35.45 Cl.upf
Rh 102.91 Rh.upf
CELL_PARAMETERS angstrom
0.000 3.479 3.479
3.479 0.000 3.479
3.479 3.479 0.000
ATOMIC_POSITIONS angstrom
Sn 1.739 1.739 1.739
Sn 5.218 5.218 5.218
Cl 0.000 0.000 0.000
Rh 3.479 3.479 3.479
! - Offset from the most stable computed form: 160.5 meV per atom
! - V: 84 Å³/f.u.
! - E_form (uncorrected): 0.013 eV per atom
! - Space group: Fm-3m

=====

! Tl2SnRhCl, optimized geometry, DFT PBE; values from VASP
&SYSTEM
  ibrav = 0, nat = 5, ntyp = 4
/
ATOMIC_SPECIES
Tl 204.38 Tl.upf
Rh 102.91 Rh.upf
Sn 118.71 Sn.upf
Cl 35.45 Cl.upf
CELL_PARAMETERS angstrom
5.330 0.000 0.000
0.000 5.330 0.000
0.000 0.000 5.058
ATOMIC_POSITIONS angstrom
Tl 2.665 0.000 0.000
Tl 0.000 2.665 0.000
Rh 0.000 0.000 0.000
Sn 0.000 0.000 2.529
Cl 2.665 2.665 2.529
! - V: 144 Å³/f.u.
! - E_form (uncorrected): -0.395 eV per atom
! - Space group: P4/mmm

=====

! Zn2SnRhCl, optimized geometry, DFT PBE; values from VASP
&SYSTEM
  ibrav = 0, nat = 5, ntyp = 4
/
ATOMIC_SPECIES
Zn 65.41 Zn.upf
Sn 118.71 Sn.upf
Cl 35.45 Cl.upf
Rh 102.91 Rh.upf
CELL_PARAMETERS angstrom
4.846 0.000 0.000
0.000 5.093 0.000
0.000 0.000 4.846
ATOMIC_POSITIONS angstrom
Zn 2.423 0.000 0.000
Zn 0.000 0.000 2.423
Sn 0.000 2.547 0.000
Cl 2.423 2.547 2.423
Rh 0.000 0.000 0.000
! - V: 120 Å³/f.u.
! - E_form (uncorrected): -0.216 eV per atom
! - Space group: P4/mmm

=====

! SrRhCl3, optimized geometry, DFT PBE; values from VASP
&SYSTEM
  ibrav = 0, nat = 5, ntyp = 3
/
ATOMIC_SPECIES
Cl 35.45 Cl.upf
Sr 87.62 Sr.upf
Rh 102.91 Rh.upf
CELL_PARAMETERS angstrom
5.592 0.000 0.000
0.000 5.592 0.000
0.000 0.000 5.592
ATOMIC_POSITIONS angstrom
Cl 2.796 0.000 0.000
Cl 0.000 0.000 2.796
Cl 0.000 2.796 0.000
Sr 0.000 0.000 0.000
Rh 2.796 2.796 2.796
! - Offset from the most stable computed form: 520.4 meV per atom
! - V: 175 Å³/f.u.
! - E_form (uncorrected): -0.635 eV per atom
! - Space group: Pm-3m

=====

! SrRh4Cl, optimized geometry, DFT PBE; values from VASP
&SYSTEM
  ibrav = 0, nat = 6, ntyp = 3
/
ATOMIC_SPECIES
Rh 102.91 Rh.upf
Cl 35.45 Cl.upf
Sr 87.62 Sr.upf
CELL_PARAMETERS angstrom
0.000 3.823 3.823
3.823 0.000 3.823
3.823 3.823 0.000
ATOMIC_POSITIONS angstrom
Rh 2.869 2.869 2.869
Rh 4.777 2.869 4.777
Rh 2.869 4.777 4.777
Rh 4.777 4.777 2.869
Cl 0.000 0.000 0.000
Sr 5.734 5.734 5.734
! - V: 112 Å³/f.u.
! - E_form (uncorrected): 0.255 eV per atom
! - Space group: F-43m

=====

! SrRh2Cl, optimized geometry, DFT PBE; values from VASP
&SYSTEM
  ibrav = 0, nat = 4, ntyp = 3
/
ATOMIC_SPECIES
Cl 35.45 Cl.upf
Sr 87.62 Sr.upf
Rh 102.91 Rh.upf
CELL_PARAMETERS angstrom
-3.127 2.108 5.173
-1.131 -1.055 6.213
2.648 2.207 1.630
ATOMIC_POSITIONS angstrom
Cl -0.402 0.815 3.254
Sr -1.207 2.445 9.762
Rh 2.571 2.151 1.607
Rh -0.727 1.687 6.530
! - Offset from the most stable computed form: 191.3 meV per atom
! - V: 88 Å³/f.u.
! - E_form (uncorrected): -0.220 eV per atom
! - Space group: C2/m

=====

! SrRh3Cl, optimized geometry, DFT PBE; values from VASP
&SYSTEM
  ibrav = 0, nat = 5, ntyp = 3
/
ATOMIC_SPECIES
Cl 35.45 Cl.upf
Sr 87.62 Sr.upf
Rh 102.91 Rh.upf
CELL_PARAMETERS angstrom
4.570 0.000 0.000
0.000 4.570 0.000
0.000 0.000 4.570
ATOMIC_POSITIONS angstrom
Cl 0.000 0.000 0.000
Sr 2.285 2.285 2.285
Rh 0.000 2.285 0.000
Rh 0.000 0.000 2.285
Rh 2.285 0.000 0.000
! - Offset from the most stable computed form: 0.0 meV per atom
! - V: 95 Å³/f.u.
! - E_form (uncorrected): 0.221 eV per atom
! - Space group: Pm-3m

=====

! SrRh2Cl, optimized geometry, DFT PBE; values from VASP
&SYSTEM
  ibrav = 0, nat = 4, ntyp = 3
/
ATOMIC_SPECIES
Cl 35.45 Cl.upf
Sr 87.62 Sr.upf
Rh 102.91 Rh.upf
CELL_PARAMETERS angstrom
8.619 0.010 0.006
7.978 3.260 0.006
7.978 1.572 2.856
ATOMIC_POSITIONS angstrom
Cl 6.144 1.211 0.717
Sr 18.432 3.632 2.151
Rh 24.304 4.789 2.836
Rh 12.560 2.475 1.466
! - Offset from the most stable computed form: 884.2 meV per atom
! - V: 80 Å³/f.u.
! - E_form (uncorrected): 0.473 eV per atom
! - Space group: R-3m

=====

! SrRhCl4, optimized geometry, DFT PBE; values from VASP
&SYSTEM
  ibrav = 0, nat = 6, ntyp = 3
/
ATOMIC_SPECIES
Cl 35.45 Cl.upf
Rh 102.91 Rh.upf
Sr 87.62 Sr.upf
CELL_PARAMETERS angstrom
0.000 4.215 4.215
4.215 0.000 4.215
4.215 4.215 0.000
ATOMIC_POSITIONS angstrom
Cl 5.267 5.267 3.163
Cl 3.163 5.267 5.267
Cl 3.163 3.163 3.163
Cl 5.267 3.163 5.267
Rh 6.323 6.323 6.323
Sr 0.000 0.000 0.000
! - V: 150 Å³/f.u.
! - E_form (uncorrected): -0.030 eV per atom
! - Space group: F-43m

=====

! SrRh2Cl, optimized geometry, DFT PBE; values from VASP
&SYSTEM
  ibrav = 0, nat = 4, ntyp = 3
/
ATOMIC_SPECIES
Rh 102.91 Rh.upf
Cl 35.45 Cl.upf
Sr 87.62 Sr.upf
CELL_PARAMETERS angstrom
-0.399 -4.233 3.522
4.861 2.304 -1.243
-0.352 2.050 2.423
ATOMIC_POSITIONS angstrom
Rh 2.231 -0.964 1.140
Rh 0.000 0.000 0.000
Cl 2.254 2.177 0.590
Sr -0.376 -1.091 2.973
! - Offset from the most stable computed form: 620.6 meV per atom
! - V: 83 Å³/f.u.
! - E_form (uncorrected): 0.209 eV per atom
! - Space group: Cmmm

=====

! SrRh2Cl, optimized geometry, DFT PBE; values from VASP
&SYSTEM
  ibrav = 0, nat = 4, ntyp = 3
/
ATOMIC_SPECIES
Rh 102.91 Rh.upf
Cl 35.45 Cl.upf
Sr 87.62 Sr.upf
CELL_PARAMETERS angstrom
-1.530 -2.153 2.251
-0.197 -2.433 -2.461
6.727 -3.893 0.849
ATOMIC_POSITIONS angstrom
Rh 0.545 -2.377 0.773
Rh 0.504 -2.241 -1.800
Cl 3.794 -6.155 -0.633
Sr 3.224 -3.302 -0.967
! - Offset from the most stable computed form: 0.0 meV per atom
! - V: 92 Å³/f.u.
! - E_form (uncorrected): -0.412 eV per atom
! - Space group: Pm

=====

! SrRh2Cl, optimized geometry, DFT PBE; values from VASP
&SYSTEM
  ibrav = 0, nat = 4, ntyp = 3
/
ATOMIC_SPECIES
Rh 102.91 Rh.upf
Sr 87.62 Sr.upf
Cl 35.45 Cl.upf
CELL_PARAMETERS angstrom
-1.873 1.840 -2.790
-1.034 -3.359 -1.521
-4.978 0.015 3.351
ATOMIC_POSITIONS angstrom
Rh -1.453 -0.759 -2.156
Rh 0.000 0.000 0.000
Sr -3.425 0.928 0.280
Cl -3.006 -1.672 0.915
! - Offset from the most stable computed form: 194.4 meV per atom
! - V: 88 Å³/f.u.
! - E_form (uncorrected): -0.217 eV per atom
! - Space group: P4/mmm

=====

! SrRh2Cl, optimized geometry, DFT PBE; values from VASP
&SYSTEM
  ibrav = 0, nat = 4, ntyp = 3
/
ATOMIC_SPECIES
Rh 102.91 Rh.upf
Sr 87.62 Sr.upf
Cl 35.45 Cl.upf
CELL_PARAMETERS angstrom
-0.093 -1.554 3.099
-0.367 -3.082 -1.557
7.685 -0.822 -0.182
ATOMIC_POSITIONS angstrom
Rh 1.325 -2.485 0.734
Rh 0.791 -0.085 -0.019
Sr 3.805 -0.407 -0.090
Cl 5.148 -2.894 0.644
! - Offset from the most stable computed form: 2.3 meV per atom
! - V: 93 Å³/f.u.
! - E_form (uncorrected): -0.409 eV per atom
! - Space group: P4mm

=====

! SrRh2Cl, optimized geometry, DFT PBE; values from VASP
&SYSTEM
  ibrav = 0, nat = 4, ntyp = 3
/
ATOMIC_SPECIES
Sr 87.62 Sr.upf
Rh 102.91 Rh.upf
Cl 35.45 Cl.upf
CELL_PARAMETERS angstrom
-4.602 3.718 2.809
-2.104 0.303 6.195
5.213 -0.116 -3.963
ATOMIC_POSITIONS angstrom
Sr -0.122 1.099 3.367
Rh -3.353 2.011 4.502
Rh -6.706 4.021 9.004
Cl -1.371 2.807 1.674
! - Offset from the most stable computed form: 193.9 meV per atom
! - V: 88 Å³/f.u.
! - E_form (uncorrected): -0.218 eV per atom
! - Space group: I4/mmm

=====

! SrRh2Cl, optimized geometry, DFT PBE; values from VASP
&SYSTEM
  ibrav = 0, nat = 4, ntyp = 3
/
ATOMIC_SPECIES
Cl 35.45 Cl.upf
Rh 102.91 Rh.upf
Sr 87.62 Sr.upf
CELL_PARAMETERS angstrom
-0.423 -1.977 4.388
3.022 -3.547 -1.278
1.341 4.619 -0.464
ATOMIC_POSITIONS angstrom
Cl 1.109 -0.060 2.740
Rh 0.000 0.000 0.000
Rh 2.831 -0.845 -0.094
Sr 1.299 -2.762 1.555
! - Offset from the most stable computed form: 458.5 meV per atom
! - V: 80 Å³/f.u.
! - E_form (uncorrected): 0.047 eV per atom
! - Space group: I-4m2